First-principles (PBE-GGA) data for Lu4CoAuC2 after structural relaxation, as listed in the Open Quantum Materials Database.

Magnetization: 0.57 μB per cell

Lattice parameters (Å, degrees): 3.520 3.520 13.441 90.00 90.00 120.00
Site moments in Bohr magnetons follow the coordinates.
Sites, in units of the cell vectors:
Au 0.000 0.000 0.000  0.00
C 0.333 0.667 0.255  -0.01
C 0.333 0.667 0.745  -0.01
Co 0.667 0.333 0.500  -0.94
Lu 0.667 0.333 0.165  0.03
Lu 0.000 0.000 0.360  0.11
Lu 0.000 0.000 0.640  0.11
Lu 0.667 0.333 0.835  0.03

***

First-principles (PBE-GGA) data for YMgTe3Au after structural relaxation, as listed in the Open Quantum Materials Database.

Magnetization: 0.02 μB per cell

Lattice parameters (Å, degrees): 12.358 4.128 13.450 90.00 90.00 90.00
Sites, in units of the cell vectors:
Au 0.807 0.500 0.248
Au 0.307 0.000 0.252
Au 0.693 0.500 0.748
Au 0.193 0.000 0.752
Mg 0.964 0.000 0.221
Mg 0.464 0.500 0.279
Mg 0.536 0.000 0.721
Mg 0.036 0.500 0.779
Te 0.868 0.500 0.054
Te 0.421 0.000 0.081
Te 0.141 0.500 0.212
Te 0.641 0.000 0.288
Te 0.921 0.500 0.419
Te 0.368 0.000 0.446
Te 0.632 0.500 0.554
Te 0.079 0.000 0.581
Te 0.359 0.500 0.712
Te 0.859 0.000 0.788
Te 0.579 0.500 0.919
Te 0.132 0.000 0.946
Y 0.684 0.000 0.066
Y 0.184 0.500 0.434
Y 0.816 0.000 0.566
Y 0.316 0.500 0.934

***

First-principles (PBE-GGA) data for BPdW after structural relaxation, as listed in the Open Quantum Materials Database.

Magnetization: 0.01 μB per cell

Lattice parameters (Å, degrees): 4.029 4.029 4.029 60.00 60.00 60.00
Sites, in units of the cell vectors:
B 0.250 0.250 0.250
Pd 0.750 0.750 0.750
W 0.000 0.000 0.000

***

First-principles (PBE-GGA) data for HoErFe8B2 after structural relaxation, as listed in the Open Quantum Materials Database.

Magnetization: 15.10 μB per cell

Lattice parameters (Å, degrees): 5.039 5.039 7.021 90.00 90.00 120.00
Site moments in Bohr magnetons follow the coordinates.
Sites, in units of the cell vectors:
B 0.667 0.333 0.500  -0.13
B 0.333 0.667 0.500  -0.13
Er 0.000 0.000 0.000  -0.41
Fe 0.667 0.333 0.000  2.42
Fe 0.333 0.667 0.000  2.42
Fe 0.500 0.000 0.286  1.93
Fe 0.000 0.500 0.286  1.76
Fe 0.500 0.500 0.286  2.01
Fe 0.500 0.000 0.714  1.93
Fe 0.000 0.500 0.714  1.76
Fe 0.500 0.500 0.714  2.01
Ho 0.000 0.000 0.500  -0.38

***

First-principles (PBE-GGA) data for Nb2GaO4 after structural relaxation, as listed in the Open Quantum Materials Database.

Magnetization: 0.00 μB per cell

Lattice parameters (Å, degrees): 6.126 6.126 6.126 119.99 90.03 119.99
Sites, in units of the cell vectors:
Ga 0.000 0.000 0.000
Ga 0.750 0.500 0.250
Nb 0.375 0.750 0.125
Nb 0.375 0.750 0.625
Nb 0.875 0.250 0.625
Nb 0.375 0.250 0.625
O 0.121 0.243 0.364
O 0.629 0.743 0.371
O 0.629 0.257 0.371
O 0.114 0.743 0.371
O 0.636 0.757 0.879
O 0.121 0.243 0.879
O 0.121 0.757 0.879
O 0.629 0.257 0.886

***

First-principles (PBE-GGA) data for TePd15 after structural relaxation, as listed in the Open Quantum Materials Database.

Lattice parameters (Å, degrees): 3.939 3.940 42.111 90.00 90.00 90.00
Sites, in units of the cell vectors:
Pd 0.500 0.500 0.147
Pd 0.500 0.000 0.197
Pd 0.000 0.500 0.197
Pd 0.000 0.000 0.244
Pd 0.500 0.500 0.245
Pd 0.000 0.500 0.292
Pd 0.500 0.000 0.292
Pd 0.500 0.500 0.338
Pd 0.000 0.000 0.338
Pd 0.500 0.000 0.384
Pd 0.000 0.500 0.384
Pd 0.500 0.500 0.431
Pd 0.000 0.000 0.431
Pd 0.000 0.500 0.477
Pd 0.500 0.000 0.477
Pd 0.000 0.000 0.523
Pd 0.500 0.500 0.523
Pd 0.500 0.000 0.569
Pd 0.000 0.500 0.569
Pd 0.500 0.500 0.616
Pd 0.000 0.000 0.616
Pd 0.500 0.000 0.662
Pd 0.000 0.500 0.662
Pd 0.000 0.000 0.708
Pd 0.500 0.500 0.708
Pd 0.000 0.500 0.755
Pd 0.500 0.000 0.756
Pd 0.500 0.500 0.803
Pd 0.000 0.000 0.803
Pd 0.000 0.500 0.853
Te 0.000 0.000 0.150
Te 0.500 0.000 0.850

***

First-principles (PBE-GGA) data for Y2HoAl3NiGe2 after structural relaxation, as listed in the Open Quantum Materials Database.

Magnetization: 0.00 μB per cell

Lattice parameters (Å, degrees): 4.177 6.940 6.940 119.99 90.00 90.00
Sites, in units of the cell vectors:
Al 0.500 0.229 0.000
Al 0.500 0.000 0.229
Al 0.500 0.771 0.771
Ge 0.500 0.666 0.334
Ge 0.500 0.334 0.666
Ho 0.000 0.403 0.403
Ni 0.000 0.002 0.002
Y 0.000 0.000 0.596
Y 0.000 0.596 0.000

***

First-principles (PBE-GGA) data for PrSmCu4 after structural relaxation, as listed in the Open Quantum Materials Database.

ΔE_f: -0.21 eV/atom
Magnetization: 0.00 μB per cell

Lattice parameters (Å, degrees): 5.601 5.601 5.601 134.32 101.23 96.12
Sites, in units of the cell vectors:
Cu 0.869 0.665 0.204
Cu 0.631 0.335 0.296
Cu 0.038 0.335 0.704
Cu 0.462 0.665 0.796
Pr 0.037 0.037 0.000
Sm 0.464 0.964 0.500

***

First-principles (PBE-GGA) data for K2InAu after structural relaxation, as listed in the Open Quantum Materials Database.

Lattice parameters (Å, degrees): 9.967 9.967 8.843 90.00 90.00 152.36
Sites, in units of the cell vectors:
Au 0.788 0.212 0.500
Au 0.212 0.788 0.500
In 0.929 0.071 0.500
In 0.071 0.929 0.500
K 0.649 0.351 0.247
K 0.351 0.649 0.247
K 0.649 0.351 0.753
K 0.351 0.649 0.753

***

First-principles (PBE-GGA) data for CsMoW after structural relaxation, as listed in the Open Quantum Materials Database.

Magnetization: 10.95 μB per cell

Lattice parameters (Å, degrees): 5.944 5.944 5.944 60.00 60.00 60.00
Sites, in units of the cell vectors:
Cs 0.000 0.000 0.000
Mo 0.250 0.250 0.250
W 0.750 0.750 0.750

***

First-principles (PBE-GGA) data for DyBePd after structural relaxation, as listed in the Open Quantum Materials Database.

Magnetization: 0.01 μB per cell

Lattice parameters (Å, degrees): 4.302 4.302 4.302 60.00 60.00 60.00
Sites, in units of the cell vectors:
Be 0.000 0.000 0.000
Dy 0.250 0.250 0.250
Pd 0.750 0.750 0.750

***

First-principles (PBE-GGA) data for PaTa2Pb2 after structural relaxation, as listed in the Open Quantum Materials Database.

Magnetization: 1.03 μB per cell

Lattice parameters (Å, degrees): 7.303 7.303 7.303 146.48 146.48 48.13
Sites, in units of the cell vectors:
Pa 0.000 0.000 0.000
Pb 0.394 0.394 0.000
Pb 0.606 0.606 0.000
Ta 0.750 0.250 0.500
Ta 0.250 0.750 0.500

***

First-principles (PBE-GGA) data for In2CoCu5 after structural relaxation, as listed in the Open Quantum Materials Database.

Magnetization: 0.01 μB per cell

Lattice parameters (Å, degrees): 4.247 4.247 6.100 90.00 90.00 90.00
Sites, in units of the cell vectors:
Co 0.500 0.500 0.000
Cu 0.500 0.000 0.248
Cu 0.000 0.500 0.248
Cu 0.000 0.000 0.500
Cu 0.500 0.000 0.752
Cu 0.000 0.500 0.752
In 0.000 0.000 0.000
In 0.500 0.500 0.500

***

First-principles (PBE-GGA) data for Ta4Al3W2N3 after structural relaxation, as listed in the Open Quantum Materials Database.

Magnetization: 0.00 μB per cell

Lattice parameters (Å, degrees): 5.100 5.100 14.759 99.92 99.92 59.95
Sites, in units of the cell vectors:
Al 0.270 0.416 0.250
Al 0.898 0.102 0.250
Al 0.584 0.730 0.250
Al 0.416 0.270 0.750
Al 0.102 0.898 0.750
Al 0.730 0.584 0.750
N 0.500 0.000 0.000
N 0.835 0.333 0.000
N 0.165 0.667 0.000
N 0.333 0.835 0.500
N 0.000 0.500 0.500
N 0.667 0.165 0.500
Ta 0.200 0.031 0.096
Ta 0.864 0.699 0.096
Ta 0.301 0.136 0.404
Ta 0.969 0.800 0.404
Ta 0.031 0.200 0.596
Ta 0.699 0.864 0.596
Ta 0.136 0.301 0.904
Ta 0.800 0.969 0.904
W 0.533 0.367 0.097
W 0.633 0.467 0.403
W 0.367 0.533 0.597
W 0.467 0.633 0.903

***

First-principles (PBE-GGA) data for PaInNO after structural relaxation, as listed in the Open Quantum Materials Database.

Magnetization: 0.00 μB per cell

Lattice parameters (Å, degrees): 3.907 5.559 7.077 90.00 90.00 90.00
Sites, in units of the cell vectors:
In 0.000 0.684 0.416
In 0.000 0.316 0.916
N 0.000 0.662 0.070
N 0.000 0.338 0.570
O 0.500 0.145 0.231
O 0.500 0.855 0.731
Pa 0.500 0.851 0.029
Pa 0.500 0.149 0.529

***

First-principles (PBE-GGA) data for Nd3Dy2Er after structural relaxation, as listed in the Open Quantum Materials Database.

ΔE_f: 0.00 eV/atom
Magnetization: 0.09 μB per cell

Lattice parameters (Å, degrees): 6.259 6.259 11.579 90.00 90.00 59.99
Sites, in units of the cell vectors:
Dy 0.333 0.000 0.220
Dy 0.000 0.667 0.220
Dy 0.000 0.333 0.720
Dy 0.667 0.000 0.720
Er 0.667 0.333 0.220
Er 0.333 0.667 0.720
Nd 0.334 0.334 0.470
Nd 0.666 0.666 0.470
Nd 0.000 0.000 0.470
Nd 0.334 0.334 0.970
Nd 0.666 0.666 0.970
Nd 0.000 0.000 0.970

***

First-principles (PBE-GGA) data for ZnPd5Se after structural relaxation, as listed in the Open Quantum Materials Database.

Lattice parameters (Å, degrees): 4.006 4.006 7.037 90.00 90.00 90.00
Sites, in units of the cell vectors:
Pd 0.000 0.000 0.000
Pd 0.500 0.000 0.274
Pd 0.000 0.500 0.274
Pd 0.500 0.000 0.726
Pd 0.000 0.500 0.726
Se 0.000 0.000 0.500
Zn 0.500 0.500 0.000

***

First-principles (PBE-GGA) data for CdPd2Pb after structural relaxation, as listed in the Open Quantum Materials Database.

Lattice parameters (Å, degrees): 4.786 4.786 4.786 60.00 60.00 60.00
Sites, in units of the cell vectors:
Cd 0.250 0.250 0.250
Pb 0.500 0.500 0.500
Pd 0.000 0.000 0.000
Pd 0.750 0.750 0.750

***

First-principles (PBE-GGA) data for LuZnPO after structural relaxation, as listed in the Open Quantum Materials Database.

Magnetization: 0.00 μB per cell

Lattice parameters (Å, degrees): 4.214 5.877 5.653 90.00 90.00 90.00
Sites, in units of the cell vectors:
Lu 0.000 0.240 0.419
Lu 0.000 0.760 0.919
O 0.500 0.315 0.397
O 0.500 0.685 0.897
P 0.000 0.771 0.410
P 0.000 0.229 0.910
Zn 0.500 0.354 0.027
Zn 0.500 0.646 0.527

***

First-principles (PBE-GGA) data for Rb5PaTe5 after structural relaxation, as listed in the Open Quantum Materials Database.

Magnetization: 0.00 μB per cell

Lattice parameters (Å, degrees): 9.066 9.066 9.925 107.77 107.77 43.64
Sites, in units of the cell vectors:
Pa 0.000 0.000 0.000
Rb 0.323 0.323 0.151
Rb 0.699 0.699 0.312
Rb 0.000 0.000 0.500
Rb 0.301 0.301 0.688
Rb 0.677 0.677 0.849
Te 0.500 0.500 0.000
Te 0.870 0.870 0.145
Te 0.137 0.137 0.287
Te 0.863 0.863 0.713
Te 0.130 0.130 0.855

***

In eV/atom, the electronic total energy values for the records above are, in order, -6.201 -4.224 -7.213 -7.661 -7.986 -5.079 -5.591 -4.272 -2.121 -4.159 -4.676 -7.624 -3.774 -9.578 -7.300 -4.679 -4.703 -3.864 -5.703 -3.709.